# KSr3Ir (GGA-PBE, optimized geometry)
data_KSr3Ir
_space_group_name_H-M_alt 'P 1'
_space_group_IT_number 1
_space_group_name_Hall 'P 1'
_cell_length_a 6.139
_cell_length_b 6.139
_cell_length_c 6.139
_cell_angle_alpha 84.41
_cell_angle_beta 84.41
_cell_angle_gamma 84.41
loop_
_atom_site_label
_atom_site_type_symbol
_atom_site_fract_x
_atom_site_fract_y
_atom_site_fract_z
K1 K 0.000 0.000 0.000
Sr1 Sr 0.084 0.557 0.557
Sr2 Sr 0.557 0.084 0.557
Sr3 Sr 0.557 0.557 0.084
Ir1 Ir 0.258 0.258 0.258
# Excess energy over the best structure of this formula in the dataset ... 176.9 kJ/mol of formula units
# Calculated formation energy ... 1.33 eV per formula unit
# N(E_F) ... 4.812 states/eV/f.u.
# SG ... No. 160
# Final energy ... -13.67 eV/f.u.
# V ... 228.3 Å³/cell



# Ca3Al4Pd4 (GGA-PBE, optimized geometry)
data_Ca3Al4Pd4
_space_group_name_H-M_alt 'P 1'
_space_group_IT_number 1
_space_group_name_Hall 'P 1'
_cell_length_a 8.177
_cell_length_b 8.177
_cell_length_c 8.177
_cell_angle_alpha 149.90
_cell_angle_beta 126.94
_cell_angle_gamma 62.22
loop_
_atom_site_label
_atom_site_type_symbol
_atom_site_fract_x
_atom_site_fract_y
_atom_site_fract_z
Ca1 Ca 0.000 0.000 0.000
Ca2 Ca 0.381 0.881 0.500
Ca3 Ca 0.619 0.119 0.500
Al1 Al 0.016 0.322 0.694
Al2 Al 0.372 0.678 0.694
Al3 Al 0.628 0.322 0.306
Al4 Al 0.984 0.678 0.306
Pd1 Pd 0.218 0.218 0.000
Pd2 Pd 0.301 0.500 0.801
Pd3 Pd 0.699 0.500 0.199
Pd4 Pd 0.782 0.782 0.000
# Excess energy over the best structure of this formula in the dataset ... 0.0 kJ/mol of formula units
# Calculated formation energy ... -8.08 eV per formula unit
# N(E_F) ... 6.240 states/eV/f.u.
# SG ... No. 71
# Final energy ... -49.82 eV/f.u.
# V ... 217.2 Å³/cell



# ErCoB (GGA-PBE, optimized geometry)
data_ErCoB
_space_group_name_H-M_alt 'P 1'
_space_group_IT_number 1
_space_group_name_Hall 'P 1'
_cell_length_a 6.570
_cell_length_b 6.570
_cell_length_c 6.570
_cell_angle_alpha 146.77
_cell_angle_beta 146.77
_cell_angle_gamma 47.70
loop_
_atom_site_label
_atom_site_type_symbol
_atom_site_fract_x
_atom_site_fract_y
_atom_site_fract_z
Er1 Er 0.000 0.000 0.000
Er2 Er 0.750 0.250 0.500
Co1 Co 0.332 0.832 0.500
Co2 Co 0.582 0.582 0.000
B1 B 0.164 0.664 0.500
B2 B 0.414 0.414 0.000
# Excess energy over the best structure of this formula in the dataset ... 40.1 kJ/mol of formula units
# Calculated formation energy ... -1.09 eV per formula unit
# N(E_F) ... 2.980 states/eV/f.u.
# SG ... No. 109
# Final energy ... -19.43 eV/f.u.
# V ... 84.8 Å³/cell



# LaTb2Th4 (GGA-PBE, optimized geometry)
data_LaTb2Th4
_space_group_name_H-M_alt 'P 1'
_space_group_IT_number 1
_space_group_name_Hall 'P 1'
_cell_length_a 9.379
_cell_length_b 9.379
_cell_length_c 5.599
_cell_angle_alpha 90.00
_cell_angle_beta 90.00
_cell_angle_gamma 90.00
loop_
_atom_site_label
_atom_site_type_symbol
_atom_site_fract_x
_atom_site_fract_y
_atom_site_fract_z
La1 La 0.000 0.000 0.000
La2 La 0.500 0.500 0.500
Tb1 Tb 0.186 0.186 0.500
Tb2 Tb 0.314 0.686 0.000
Tb3 Tb 0.686 0.314 0.000
Tb4 Tb 0.814 0.814 0.500
Th1 Th 0.120 0.621 0.500
Th2 Th 0.121 0.380 0.000
Th3 Th 0.379 0.880 0.500
Th4 Th 0.380 0.121 0.000
Th5 Th 0.620 0.879 0.000
Th6 Th 0.621 0.120 0.500
Th7 Th 0.879 0.620 0.000
Th8 Th 0.880 0.379 0.500
# Calculated formation energy ... 1.93 eV per formula unit
# N(E_F) ... 11.573 states/eV/f.u.
# SG ... No. 136
# Final energy ... -41.94 eV/f.u.
# V ... 492.6 Å³/cell